The following is a PBE calculation of a geometry-optimized Zr2InNi structure, from Alexandria via LeMat-Bulk.

Computed properties:
E_tot, eV per atom: -6.41

a = 7.6048 Å, b = 7.6048 Å, c = 6.1016 Å
α = 51.45°, β = 51.45°, γ = 90.00°
With the nearest neighbours (Å) after each atom.
Fractional positions:
Ni1 0.5000 0.5000 0.0000  4 Zr 2.52
Ni2 0.2500 0.7500 0.5000  4 Zr 2.52
Zr1 0.5713 0.1250 0.2500  2 Ni 2.52
Zr2 0.1787 0.6250 0.2500  2 Ni 2.52
Zr3 0.3750 0.4287 0.7500  2 Ni 2.52
Zr4 0.8750 0.8213 0.7500  2 Ni 2.52
In1 0.0000 0.0000 0.0000  2 Ni 2.88, 4 Zr 3.08
In2 0.7500 0.2500 0.5000  2 Ni 2.88, 4 Zr 3.08